(1)
## ReAgIr (PBE-GGA)

Data for a relaxed structure of ReAgIr.

Lattice parameters (Å, degrees): 6.025 6.025 6.025 90.00 90.00 90.00
Positions (direct):
Re (0.000, 0.000, 0.000)
Re (0.000, 0.500, 0.500)
Re (0.500, 0.000, 0.500)
Re (0.500, 0.500, 0.000)
Ag (0.000, 0.000, 0.500)
Ag (0.000, 0.500, 0.000)
Ag (0.500, 0.000, 0.000)
Ag (0.500, 0.500, 0.500)
Ir (0.250, 0.250, 0.250)
Ir (0.250, 0.750, 0.750)
Ir (0.750, 0.250, 0.750)
Ir (0.750, 0.750, 0.250)

Output
- Volume: 54.7 Å³/f.u.
- Energy above the most stable polymorph in this dataset: 171.2 kJ/mol of formula units
- E_form: 805 meV per atom
- Density: 14.77 g/cm³
- Space group: No. 216



(2)
## ScReP2S (PBE-GGA)

Data for a relaxed structure of ScReP2S.

Lattice parameters (Å, degrees): 4.477 4.477 5.183 90.00 90.00 90.00
Positions (direct):
Sc (0.000, 0.000, 0.000)
Re (0.500, 0.500, 0.500)
P (0.000, 0.500, 0.500)
P (0.500, 0.000, 0.500)
S (0.500, 0.500, 0.000)

Output
- Volume: 103.9 Å³/f.u.
- Energy above the most stable polymorph in this dataset: 0.0 kJ/mol of formula units
- Density: 5.20 g/cm³
- Space group: No. 123
- Formation energy (no corrections): 0.139 eV/atom



- What is the formula in the second record?
  ScReP2S



- Which formula does entry 1 have?
  ReAgIr



- Which of these has the lowest volume?
  ReAgIr